# PuUSi4 PBE relaxed
# Symmetry = I-4m2 (119)
# Energy above the lowest structure with this stoichiometry = 0.00 eV per formula unit
# Formation energy from raw total energies = -383 meV per atom
data_PuUSi4
_chemical_formula_sum 'Pu1 U1 Si4'
_space_group_name_H-M_alt 'P 1'
_space_group_IT_number 1
_space_group_name_Hall 'P 1'
_cell_length_a 7.5802
_cell_length_b 7.5802
_cell_length_c 7.5802
_cell_angle_alpha 149.77
_cell_angle_beta 149.77
_cell_angle_gamma 43.27
loop_
_atom_site_label
_atom_site_type_symbol
_atom_site_fract_x
_atom_site_fract_y
_atom_site_fract_z
Pu1 Pu 0.0000 0.0000 0.0000
U1 U 0.7500 0.2500 0.5000
Si1 Si 0.1681 0.6681 0.5000
Si2 Si 0.3319 0.8319 0.5000
Si3 Si 0.4168 0.4168 0.0000
Si4 Si 0.5832 0.5832 0.0000

# Pu4U2Si3 PBE relaxed
# Symmetry = C2/c (15)
# Formation energy from raw total energies = -20 meV per atom
data_Pu4U2Si3
_chemical_formula_sum 'Pu8 U4 Si6'
_space_group_name_H-M_alt 'P 1'
_space_group_IT_number 1
_space_group_name_Hall 'P 1'
_cell_length_a 8.5624
_cell_length_b 8.5624
_cell_length_c 4.6077
_cell_angle_alpha 95.36
_cell_angle_beta 95.36
_cell_angle_gamma 92.81
loop_
_atom_site_label
_atom_site_type_symbol
_atom_site_fract_x
_atom_site_fract_y
_atom_site_fract_z
Pu1 Pu 0.0655 0.8114 0.5304
Pu2 Pu 0.1886 0.9345 0.9696
Pu3 Pu 0.3651 0.3969 0.8148
Pu4 Pu 0.3969 0.3651 0.3148
Pu5 Pu 0.6031 0.6349 0.6852
Pu6 Pu 0.6349 0.6031 0.1852
Pu7 Pu 0.8114 0.0655 0.0304
Pu8 Pu 0.9345 0.1886 0.4696
U1 U 0.1269 0.5558 0.7160
U2 U 0.4442 0.8731 0.7840
U3 U 0.5558 0.1269 0.2160
U4 U 0.8731 0.4442 0.2840
Si1 Si 0.1069 0.2580 0.0164
Si2 Si 0.2580 0.1069 0.5164
Si3 Si 0.3176 0.6824 0.2500
Si4 Si 0.6824 0.3176 0.7500
Si5 Si 0.7420 0.8931 0.4836
Si6 Si 0.8931 0.7420 0.9836

- What is the formula in the first record?
  PuUSi4